{
  "formula": "RbNbHg2Pd",
  "functional": "PBE",
  "state": "optimized geometry",
  "lattice": [[-5.2608, 2.6540, -0.7690], [-0.9659, -0.2169, 5.8592], [2.2744, 4.6670, 0.5477]],
  "species": ["Rb", "Nb", "Hg", "Hg", "Pd"],
  "frac_coords": [[0.0000, 0.0000, 0.0000], [0.5000, 0.5000, 0.5000], [0.0000, 0.5000, 0.0000], [0.5000, 0.0000, 0.0000], [0.0000, 0.0000, 0.5000]],
  "total_energy_ev_per_atom": -1.733,
  "ef_ev_per_atom": 1.63,
  "sg": "P4/mmm (123)"
}